First-principles (PBE-GGA) data for a relaxed structure of RbBe3Si, as listed in Alexandria.

Lattice parameters (Å, degrees): 5.215 5.215 5.215 90.00 90.00 90.00
Space group Pm-3m (No. 221)
Asymmetric unit:
Rb1 0.000 0.000 0.000
Be1 0.000 0.000 0.500
Si1 0.500 0.500 0.500

VASP energy: -0.797 eV/atom
polymorph energy (0 for the lowest one): 1713 meV per atom
E_form (uncorrected): 2717 meV/atom